Computed, not measured: a relaxed structure of Nd4Zn3 at the PBE-GGA level of DFT.

It has space group R-3m (No. 166, hexagonal axes), with a = 5.1336 Å, b = 5.1336 Å, c = 26.2716 Å, α = 90.00°, β = 90.00° and γ = 120.00°. The inequivalent atoms are Nd at (0.0000, 0.0000, 0.1242), Nd at (0.0000, 0.0000, 0.2920), Zn at (0.0000, 0.0000, 0.4070) and Zn at (0.0000, 0.0000, 0.5000).

For the polymorph energy (0 for the lowest one), the calculation gives 0.076 eV per atom. The value obtained for the formation energy from the elements is -0.100 eV/atom.